A plane-wave DFT calculation with GGA-PBE was carried out for Sm2MgBe after structural relaxation.

## Properties
* ΔE to the lowest computed polymorph: 0.0000 eV/atom
* ΔE_f: 0.0233 eV per atom

```
data_Sm2MgBe
_chemical_formula_sum 'Sm2 Mg1 Be1'
_cell_length_a 3.555
_cell_length_b 3.555
_cell_length_c 7.823
_cell_angle_alpha 90.00
_cell_angle_beta 90.00
_cell_angle_gamma 90.00
_symmetry_space_group_name_H-M 'P 4/m m m'
_symmetry_Int_Tables_number 123
_symmetry_space_group_name_Hall '-P 4 2'
loop_
_atom_site_label
_atom_site_fract_x
_atom_site_fract_y
_atom_site_fract_z
Sm1 0.000 0.000 0.211
Mg1 0.500 0.500 0.500
Be1 0.500 0.500 0.000
```

---

A plane-wave DFT calculation with GGA-PBE was carried out for In3BCl6 after structural relaxation.

## Properties
* ΔE_f (raw): -0.88 eV per atom

```
data_In3BCl6
_chemical_formula_sum 'In12 B4 Cl24'
_cell_length_a 11.148
_cell_length_b 15.578
_cell_length_c 7.681
_cell_angle_alpha 90.00
_cell_angle_beta 90.00
_cell_angle_gamma 90.00
_symmetry_space_group_name_H-M 'C m c 21'
_symmetry_Int_Tables_number 36
loop_
_symmetry_equiv_pos_as_xyz
'x,y,z'
'-x,-y,z+1/2'
'-x,y,z'
'x,-y,z+1/2'
'x+1/2,y+1/2,z'
'-x+1/2,-y+1/2,z+1/2'
'-x+1/2,y+1/2,z'
'x+1/2,-y+1/2,z+1/2'
loop_
_atom_site_label
_atom_site_fract_x
_atom_site_fract_y
_atom_site_fract_z
In1 0.000 0.103 0.000
In2 0.188 0.408 0.991
B1 0.000 0.301 0.437
Cl1 0.000 0.278 0.673
Cl2 0.000 0.421 0.399
Cl3 0.137 0.255 0.332
Cl4 0.169 0.002 0.736
```

---

A plane-wave DFT calculation with GGA-PBE was carried out for SrMg2Ni after structural relaxation.

## Properties
* ΔE_f: 0.2269 eV per atom

```
data_SrMg2Ni
_chemical_formula_sum 'Sr4 Mg8 Ni4'
_cell_length_a 7.150
_cell_length_b 7.150
_cell_length_c 7.150
_cell_angle_alpha 90.00
_cell_angle_beta 90.00
_cell_angle_gamma 90.00
_symmetry_space_group_name_H-M 'F m -3 m'
_symmetry_Int_Tables_number 225
_symmetry_space_group_name_Hall '-F 4 2 3'
loop_
_atom_site_label
_atom_site_fract_x
_atom_site_fract_y
_atom_site_fract_z
Sr1 0.000 0.000 0.000
Mg1 0.250 0.250 0.250
Ni1 0.000 0.000 0.500
```

---

A plane-wave DFT calculation with GGA-PBE was carried out for ZnNiAsPd2 after structural relaxation.

## Properties
* ΔE_f: 0.6030 eV per atom

```
data_ZnNiAsPd2
_chemical_formula_sum 'Zn1 Ni1 As1 Pd2'
_cell_length_a 4.610
_cell_length_b 4.610
_cell_length_c 4.348
_cell_angle_alpha 90.00
_cell_angle_beta 90.00
_cell_angle_gamma 90.00
_symmetry_space_group_name_H-M 'P 4/m m m'
_symmetry_Int_Tables_number 123
_symmetry_space_group_name_Hall '-P 4 2'
loop_
_atom_site_label
_atom_site_fract_x
_atom_site_fract_y
_atom_site_fract_z
Zn1 0.000 0.000 0.000
Ni1 0.000 0.000 0.500
As1 0.500 0.500 0.500
Pd1 0.000 0.500 0.000
```

---

A plane-wave DFT calculation with GGA-PBE was carried out for Tb3Er12Tl after structural relaxation.

## Properties
* ΔE_f: -0.0227 eV per atom

```
data_Tb3Er12Tl
_chemical_formula_sum 'Tb3 Er12 Tl1'
_cell_length_a 4.918
_cell_length_b 4.918
_cell_length_c 19.964
_cell_angle_alpha 90.00
_cell_angle_beta 90.00
_cell_angle_gamma 90.00
_symmetry_space_group_name_H-M 'P 4/m m m'
_symmetry_Int_Tables_number 123
_symmetry_space_group_name_Hall '-P 4 2'
loop_
_atom_site_label
_atom_site_fract_x
_atom_site_fract_y
_atom_site_fract_z
Tb1 0.000 0.000 0.000
Tb2 0.000 0.000 0.251
Er1 0.000 0.500 0.126
Er2 0.000 0.500 0.378
Er3 0.500 0.500 0.000
Er4 0.500 0.500 0.256
Er5 0.500 0.500 0.500
Tl1 0.000 0.000 0.500
```

---

A plane-wave DFT calculation with GGA-PBE was carried out for Li2Zn2Fe after structural relaxation.

## Properties
* ΔE to the lowest computed polymorph: 0.0000 eV/atom
* ΔE_f: 0.1380 eV per atom

```
data_Li2Zn2Fe
_chemical_formula_sum 'Li4 Zn4 Fe2'
_cell_length_a 7.142
_cell_length_b 7.142
_cell_length_c 2.616
_cell_angle_alpha 90.00
_cell_angle_beta 90.00
_cell_angle_gamma 90.00
_symmetry_space_group_name_H-M 'P 4/m b m'
_symmetry_Int_Tables_number 127
_symmetry_space_group_name_Hall '-P 4 2ab'
loop_
_atom_site_label
_atom_site_fract_x
_atom_site_fract_y
_atom_site_fract_z
Li1 0.125 0.375 0.000
Zn1 0.175 0.675 0.500
Fe1 0.000 0.000 0.000
```

---

A plane-wave DFT calculation with GGA-PBE was carried out for ZrInIr2 after structural relaxation.

## Properties
* ΔE_f: -0.1495 eV per atom

```
data_ZrInIr2
_chemical_formula_sum 'Zr3 In3 Ir6'
_cell_length_a 3.0794
_cell_length_b 3.0794
_cell_length_c 26.4881
_cell_angle_alpha 90.00
_cell_angle_beta 90.00
_cell_angle_gamma 120.00
_symmetry_space_group_name_H-M 'R -3 m'
_symmetry_Int_Tables_number 166
_symmetry_space_group_name_Hall '-R 3 2"'
loop_
_atom_site_label
_atom_site_fract_x
_atom_site_fract_y
_atom_site_fract_z
Zr1 0.0000 0.0000 0.0000
In1 0.0000 0.0000 0.5000
Ir1 0.0000 0.0000 0.2521
```

---

A plane-wave DFT calculation with GGA-PBE was carried out for Al2SbIr after structural relaxation.

## Properties
* ΔE_f (raw): -0.39 eV per atom

```
data_Al2SbIr
_chemical_formula_sum 'Al2 Sb1 Ir1'
_cell_length_a 3.002
_cell_length_b 3.027
_cell_length_c 8.110
_cell_angle_alpha 90.00
_cell_angle_beta 90.00
_cell_angle_gamma 90.00
_symmetry_space_group_name_H-M 'P m m m'
_symmetry_Int_Tables_number 47
loop_
_symmetry_equiv_pos_as_xyz
'x,y,z'
'-x,-y,-z'
'-x,-y,z'
'x,y,-z'
'x,-y,-z'
'-x,y,z'
'-x,y,-z'
'x,-y,z'
loop_
_atom_site_label
_atom_site_fract_x
_atom_site_fract_y
_atom_site_fract_z
Al1 0.000 0.000 0.187
Sb1 0.000 0.500 0.500
Ir1 0.500 0.500 0.000
```

---

A plane-wave DFT calculation with GGA-PBE was carried out for PrTmGePt after structural relaxation.

## Properties
* ΔE_f: -0.8601 eV per atom

```
data_PrTmGePt
_chemical_formula_sum 'Pr4 Tm4 Ge4 Pt4'
_cell_length_a 7.192
_cell_length_b 7.192
_cell_length_c 7.192
_cell_angle_alpha 90.00
_cell_angle_beta 90.00
_cell_angle_gamma 90.00
_symmetry_space_group_name_H-M 'F -4 3 m'
_symmetry_Int_Tables_number 216
_symmetry_space_group_name_Hall 'F -4 2 3'
loop_
_atom_site_label
_atom_site_fract_x
_atom_site_fract_y
_atom_site_fract_z
Pr1 0.000 0.000 0.000
Tm1 0.000 0.000 0.500
Ge1 0.250 0.250 0.750
Pt1 0.250 0.250 0.250
```

---

A plane-wave DFT calculation with GGA-PBE was carried out for LiCd2SiSe4 after structural relaxation.

## Properties
* ΔE_f (raw): -0.55 eV per atom

```
data_LiCd2SiSe4
_chemical_formula_sum 'Li2 Cd4 Si2 Se8'
_cell_length_a 6.055
_cell_length_b 6.055
_cell_length_c 11.935
_cell_angle_alpha 90.00
_cell_angle_beta 90.00
_cell_angle_gamma 90.00
_symmetry_space_group_name_H-M 'I -4 2 m'
_symmetry_Int_Tables_number 121
_symmetry_space_group_name_Hall 'I -4 2'
loop_
_atom_site_label
_atom_site_fract_x
_atom_site_fract_y
_atom_site_fract_z
Li1 0.000 0.000 0.000
Cd1 0.000 0.500 0.250
Si1 0.000 0.000 0.500
Se1 0.238 0.238 0.388
```

---

A plane-wave DFT calculation with GGA-PBE was carried out for AgMoP2 after structural relaxation.

## Properties
* ΔE to the lowest computed polymorph: 0.7975 eV/atom
* ΔE_f: 0.7342 eV per atom

```
data_AgMoP2
_chemical_formula_sum 'Ag4 Mo4 P8'
_cell_length_a 6.289
_cell_length_b 6.289
_cell_length_c 6.289
_cell_angle_alpha 90.00
_cell_angle_beta 90.00
_cell_angle_gamma 90.00
_symmetry_space_group_name_H-M 'F -4 3 m'
_symmetry_Int_Tables_number 216
_symmetry_space_group_name_Hall 'F -4 2 3'
loop_
_atom_site_label
_atom_site_fract_x
_atom_site_fract_y
_atom_site_fract_z
Ag1 0.000 0.000 0.000
Mo1 0.250 0.250 0.750
P1 0.000 0.000 0.500
P2 0.250 0.250 0.250
```

---

A plane-wave DFT calculation with GGA-PBE was carried out for NaLi3 after structural relaxation.

## Properties
* ΔE to the lowest computed polymorph: 0.0219 eV/atom
* ΔE_f: 0.0432 eV per atom

```
data_NaLi3
_chemical_formula_sum 'Na1 Li3'
_cell_length_a 3.192
_cell_length_b 4.621
_cell_length_c 6.598
_cell_angle_alpha 90.00
_cell_angle_beta 96.67
_cell_angle_gamma 90.00
_symmetry_space_group_name_H-M 'P 1 2/m 1'
_symmetry_Int_Tables_number 10
loop_
_symmetry_equiv_pos_as_xyz
'x,y,z'
'-x,-y,-z'
'-x,y,-z'
'x,-y,z'
loop_
_atom_site_label
_atom_site_fract_x
_atom_site_fract_y
_atom_site_fract_z
Na1 0.000 0.000 0.000
Li1 0.000 0.000 0.500
Li2 0.472 0.500 0.721
```